No. 1
DFT (PBE-GGA) results for Pr2CdAs2O after structural relaxation.

It has space group P4/mmm (No. 123), with a = 3.410 Å, b = 3.410 Å, c = 15.446 Å, α = 90.00°, β = 90.00° and γ = 90.00°. The distinct sites, in fractional coordinates, are Pr at (0.000, 0.000, 0.138), Cd at (0.000, 0.000, 0.500), As at (0.000, 0.000, 0.335) and O at (0.000, 0.000, 0.000).

The value obtained for the formation energy from raw total energies is -180 kJ/mol of formula units. The value obtained for the size of the total moment is 0.0 μB per formula unit. The calculated volume comes out at 29.9 A^3/atom.

***

No. 2
DFT (PBE-GGA) results for CdAsPtO6 after structural relaxation.

It has space group P-31c (No. 163), with a = 5.1235 Å, b = 5.1235 Å, c = 9.7332 Å, α = 90.00°, β = 90.00° and γ = 120.00°. The distinct sites, in fractional coordinates, are Cd at (0.0000, 0.0000, 0.0000), As at (0.3333, 0.6667, 0.2500), Pt at (0.3333, 0.6667, 0.7500) and O at (0.0183, 0.3776, 0.1417).

The value obtained for the formation energy from raw total energies is -773 kJ/mol of formula units. The value obtained for the size of the total moment is 0.7 μB per formula unit. The calculated volume comes out at 12.3 A^3/atom.

***

No. 3
DFT (PBE-GGA) results for CdAsPtO5 after structural relaxation.

It has space group C2/c (No. 15), with a = 7.202 Å, b = 9.357 Å, c = 6.671 Å, α = 90.00°, β = 96.40° and γ = 90.00°. The distinct sites, in fractional coordinates, are Cd at (0.000, 0.120, 0.250), As at (0.000, 0.230, 0.750), Pt at (0.000, 0.500, 0.000), O at (0.000, 0.395, 0.250), O at (0.096, 0.119, 0.938) and O at (0.161, 0.345, 0.649).

The value obtained for the formation energy from raw total energies is -697 kJ/mol of formula units. The value obtained for the size of the total moment is 0.2 μB per formula unit. The calculated volume comes out at 14.0 A^3/atom.

***

No. 4
DFT (PBE-GGA) results for PuCdAsO6 after structural relaxation.

It has space group P-31c (No. 163), with a = 5.3822 Å, b = 5.3822 Å, c = 9.5278 Å, α = 90.00°, β = 90.00° and γ = 120.00°. The distinct sites, in fractional coordinates, are Pu at (0.3333, 0.6667, 0.2500), Cd at (0.0000, 0.0000, 0.0000), As at (0.3333, 0.6667, 0.7500) and O at (0.0372, 0.3825, 0.6397).

The value obtained for the formation energy from raw total energies is -1463 kJ/mol of formula units. The value obtained for the size of the total moment is 3.0 μB per formula unit. The calculated volume comes out at 13.3 A^3/atom.

***

No. 5
DFT (PBE-GGA) results for PuCdAs2O8 after structural relaxation.

It has space group I-4m2 (No. 119), with a = 7.198 Å, b = 7.198 Å, c = 6.407 Å, α = 90.00°, β = 90.00° and γ = 90.00°. The distinct sites, in fractional coordinates, are Pu at (0.000, 0.000, 0.000), Cd at (0.000, 0.500, 0.250), As at (0.000, 0.000, 0.500), As at (0.000, 0.500, 0.750), O at (0.000, 0.178, 0.319) and O at (0.000, 0.314, 0.920).

The value obtained for the formation energy from raw total energies is -1888 kJ/mol of formula units. The value obtained for the size of the total moment is 4.0 μB per formula unit. The calculated volume comes out at 13.8 A^3/atom.

***

No. 6
DFT (PBE-GGA) results for Rb3CdAs2O6 after structural relaxation.

It has space group P-3m1 (No. 164), with a = 6.0986 Å, b = 6.0986 Å, c = 7.4530 Å, α = 90.00°, β = 90.00° and γ = 120.00°. The distinct sites, in fractional coordinates, are Rb at (0.0000, 0.0000, 0.0000), Rb at (0.3333, 0.6667, 0.6709), Cd at (0.0000, 0.0000, 0.5000), As at (0.3333, 0.6667, 0.2204) and O at (0.1779, 0.3557, 0.3081).

The value obtained for the formation energy from raw total energies is -1607 kJ/mol of formula units. The value obtained for the size of the total moment is 1.1 μB per formula unit. The calculated volume comes out at 20.0 A^3/atom.

***

No. 7
DFT (PBE-GGA) results for RbCdAsO4 after structural relaxation.

It has space group P2_1/m (No. 11), with a = 5.793 Å, b = 6.035 Å, c = 7.540 Å, α = 90.00°, β = 106.82° and γ = 90.00°. The distinct sites, in fractional coordinates, are Rb at (0.205, 0.250, 0.437), Cd at (0.300, 0.250, 0.963), As at (0.242, 0.750, 0.153), O at (0.043, 0.750, 0.935), O at (0.072, 0.750, 0.306) and O at (0.446, 0.529, 0.184).

The value obtained for the formation energy from raw total energies is -962 kJ/mol of formula units. The value obtained for the size of the total moment is 0.0 μB per formula unit. The calculated volume comes out at 18.0 A^3/atom.

***

No. 8
DFT (PBE-GGA) results for Rb2CdAsO4 after structural relaxation.

It has space group I-4 (No. 82), with a = 6.320 Å, b = 6.320 Å, c = 8.166 Å, α = 90.00°, β = 90.00° and γ = 90.00°. The distinct sites, in fractional coordinates, are Rb at (0.000, 0.000, 0.000), Rb at (0.000, 0.500, 0.250), Cd at (0.000, 0.500, 0.750), As at (0.000, 0.000, 0.500) and O at (0.129, 0.806, 0.620).

The value obtained for the formation energy from raw total energies is -1028 kJ/mol of formula units. The value obtained for the size of the total moment is 0.0 μB per formula unit. The calculated volume comes out at 20.4 A^3/atom.

***

Copy entry 2 word for word.
DFT (PBE-GGA) results for CdAsPtO6 after structural relaxation.

It has space group P-31c (No. 163), with a = 5.1235 Å, b = 5.1235 Å, c = 9.7332 Å, α = 90.00°, β = 90.00° and γ = 120.00°. The distinct sites, in fractional coordinates, are Cd at (0.0000, 0.0000, 0.0000), As at (0.3333, 0.6667, 0.2500), Pt at (0.3333, 0.6667, 0.7500) and O at (0.0183, 0.3776, 0.1417).

The value obtained for the formation energy from raw total energies is -773 kJ/mol of formula units. The value obtained for the size of the total moment is 0.7 μB per formula unit. The calculated volume comes out at 12.3 A^3/atom.

***

Which of these has the lowest formation energy from raw total energies? PuCdAs2O8

***

What did the fourth record say?
DFT (PBE-GGA) results for PuCdAsO6 after structural relaxation.

It has space group P-31c (No. 163), with a = 5.3822 Å, b = 5.3822 Å, c = 9.5278 Å, α = 90.00°, β = 90.00° and γ = 120.00°. The distinct sites, in fractional coordinates, are Pu at (0.3333, 0.6667, 0.2500), Cd at (0.0000, 0.0000, 0.0000), As at (0.3333, 0.6667, 0.7500) and O at (0.0372, 0.3825, 0.6397).

The value obtained for the formation energy from raw total energies is -1463 kJ/mol of formula units. The value obtained for the size of the total moment is 3.0 μB per formula unit. The calculated volume comes out at 13.3 A^3/atom.

***

Copy entry 8 word for word.
DFT (PBE-GGA) results for Rb2CdAsO4 after structural relaxation.

It has space group I-4 (No. 82), with a = 6.320 Å, b = 6.320 Å, c = 8.166 Å, α = 90.00°, β = 90.00° and γ = 90.00°. The distinct sites, in fractional coordinates, are Rb at (0.000, 0.000, 0.000), Rb at (0.000, 0.500, 0.250), Cd at (0.000, 0.500, 0.750), As at (0.000, 0.000, 0.500) and O at (0.129, 0.806, 0.620).

The value obtained for the formation energy from raw total energies is -1028 kJ/mol of formula units. The value obtained for the size of the total moment is 0.0 μB per formula unit. The calculated volume comes out at 20.4 A^3/atom.